Material: CsCeNdBr6
Method: DFT, PBE
State: relaxed

Values from the calculation:
Its density of states at the Fermi level is 10.7 states/eV/f.u. Its crystal system is orthorhombic. Its uncorrected formation energy is -1703 meV/atom.

Unit cell a=10.404 b=10.581 c=10.489 alpha=120.29 beta=119.73 gamma=90.00
Site moments in Bohr magnetons follow the coordinates.
Sites, in units of the cell vectors:
Cs: 0.879 0.629 0.757  0.00
Cs: 0.121 0.371 0.243  0.00
Ce: 0.500 0.500 0.000  1.27
Ce: 0.500 0.000 0.000  1.27
Nd: 0.500 0.000 0.500  0.17
Nd: 0.000 0.000 0.500  0.17
Br: 0.406 0.656 0.813  -0.01
Br: 0.845 0.095 0.690  0.00
Br: 0.848 0.092 0.252  0.00
Br: 0.404 0.659 0.252  0.00
Br: 0.404 0.092 0.252  0.00
Br: 0.848 0.659 0.252  0.00
Br: 0.594 0.344 0.187  -0.01
Br: 0.155 0.905 0.310  0.00
Br: 0.152 0.908 0.748  0.00
Br: 0.596 0.341 0.748  0.00
Br: 0.596 0.908 0.748  0.00
Br: 0.152 0.341 0.748  0.00